1.
# Pm2Sm2HoTm | Alexandria | PBE | optimized geometry
data_Pm2Sm2HoTm
_cell_length_a 7.039
_cell_length_b 5.669
_cell_length_c 9.819
_cell_angle_alpha 90.00
_cell_angle_beta 90.00
_cell_angle_gamma 90.00
_space_group_name_H-M_alt 'P m m a'
_space_group_IT_number 51
_space_group_name_Hall '-P 2a 2a'
loop_
_atom_site_label
_atom_site_fract_x
_atom_site_fract_y
_atom_site_fract_z
_atom_site_occupancy
Pm1 0.250 0.000 0.161 1
Pm2 0.250 0.500 0.671 1
Sm1 0.000 0.500 0.000 1
Sm2 0.250 0.000 0.821 1
Ho1 0.250 0.500 0.343 1
Tm1 0.000 0.000 0.500 1
# N(E_F)   1.566 states/eV/atom
# Energy relative to the elements   0.06 eV/atom
# Density   7.84 g/cm3
# Uncorrected energy   -55.24 eV for the cell shown

=====

2.
# PmSmHoTm3 | Alexandria | PBE | optimized geometry
data_PmSmHoTm3
_cell_length_a 5.013
_cell_length_b 15.037
_cell_length_c 10.028
_cell_angle_alpha 90.00
_cell_angle_beta 90.00
_cell_angle_gamma 90.00
_space_group_name_H-M_alt 'C m c m'
_space_group_IT_number 63
_space_group_name_Hall '-C 2c 2'
loop_
_atom_site_label
_atom_site_fract_x
_atom_site_fract_y
_atom_site_fract_z
_atom_site_occupancy
Pm1 0.000 0.000 0.250 1
Sm1 0.000 0.500 0.000 1
Ho1 0.000 0.331 0.250 1
Tm1 0.000 0.168 0.000 1
Tm2 0.000 0.332 0.750 1
# N(E_F)   1.385 states/eV/atom
# Energy relative to the elements   0.02 eV/atom
# Density   8.50 g/cm3
# Uncorrected energy   -109.27 eV for the cell shown